Entry 1:
This record from Alexandria describes a geometry-optimized Ac2IrO structure. The functional is PBE.

a = 4.1011 Å, b = 4.1011 Å, c = 8.0667 Å
α = 75.27°, β = 75.27°, γ = 60.00°
Sites, in units of the cell vectors:
Ac 0.0957 0.0957 0.7128
Ac 0.2677 0.2677 0.1968
Ir 0.6695 0.6695 0.9915
O 0.4670 0.4670 0.5989

DOS(E_F) ... 2.35 states/eV/cell
Spin magnetization ... 0.0 μB/f.u.
Raw total energy ... -6.89 eV/atom
Polymorph energy (0 for the lowest one) ... 0.213 eV per atom
Formation energy without anion corrections ... -1.3783 eV per atom

---

Entry 2:
This record from Alexandria describes a geometry-optimized Ac2IrO7 structure. The functional is PBE.

a = 6.6139 Å, b = 7.2550 Å, c = 7.0579 Å
α = 86.50°, β = 79.27°, γ = 61.17°
Last column: magnetic moment on the atom in μB.
Sites, in units of the cell vectors:
Ac 0.7661 0.9480 0.6756  0.01
Ac 0.6171 0.3969 0.2445  0.01
Ac 0.3829 0.6031 0.7555  0.01
Ac 0.2339 0.0520 0.3244  0.01
Ir 0.9584 0.2903 0.7877  0.60
Ir 0.0416 0.7097 0.2123  0.60
O 0.7715 0.5844 0.8077  0.17
O 0.8537 0.0045 0.2896  0.10
O 0.3292 0.7360 0.1034  0.05
O 0.2570 0.3109 0.7179  0.06
O 0.4092 0.2302 0.5304  0.03
O 0.8478 0.3003 0.5303  0.02
O 0.0341 0.2440 0.0413  0.04
O 0.9659 0.7560 0.9587  0.04
O 0.1522 0.6997 0.4697  0.02
O 0.5908 0.7698 0.4696  0.03
O 0.7430 0.6891 0.2821  0.06
O 0.6708 0.2640 0.8966  0.05
O 0.1463 0.9955 0.7104  0.10
O 0.2285 0.4156 0.1923  0.17

DOS(E_F) ... 10.50 states/eV/cell
Spin magnetization ... 1.2 μB/f.u.
Raw total energy ... -7.08 eV/atom
Formation energy without anion corrections ... -1.9033 eV per atom

---

Entry 3:
This record from Alexandria describes a geometry-optimized AcIrO6 structure. The functional is PBE.

a = 4.7606 Å, b = 4.7606 Å, c = 4.7734 Å
α = 81.86°, β = 81.86°, γ = 98.15°
Sites, in units of the cell vectors:
Ac 0.5000 0.5000 0.5000
Ir 0.0000 0.0000 0.0000
O 0.0822 0.7196 0.2792
O 0.7196 0.0822 0.2792
O 0.2804 0.9178 0.7208
O 0.9178 0.2804 0.7208
O 0.2796 0.2796 0.0830
O 0.7204 0.7204 0.9170

DOS(E_F) ... 2.05 states/eV/cell
Spin magnetization ... 0.0 μB/f.u.
Raw total energy ... -6.58 eV/atom
Polymorph energy (0 for the lowest one) ... 0.030 eV per atom
Formation energy without anion corrections ... -1.2435 eV per atom

---

Entry 4:
This record from Alexandria describes a geometry-optimized Ac2IrO6 structure. The functional is PBE.

a = 5.6523 Å, b = 6.5187 Å, c = 7.9187 Å
α = 90.00°, β = 94.44°, γ = 90.00°
Last column: magnetic moment on the atom in μB.
Sites, in units of the cell vectors:
Ac 0.9678 0.4074 0.7466  0.04
Ac 0.5322 0.9074 0.7534  0.04
Ac 0.4678 0.0926 0.2466  0.04
Ac 0.0322 0.5926 0.2534  0.04
Ir 0.5000 0.5000 0.0000  1.47
Ir 0.0000 0.0000 0.5000  1.47
O 0.8832 0.9546 0.2649  0.20
O 0.8650 0.7346 0.5626  0.19
O 0.7937 0.6459 0.9551  0.16
O 0.7063 0.1459 0.5449  0.16
O 0.6350 0.2346 0.9374  0.19
O 0.6168 0.4546 0.2351  0.20
O 0.1168 0.0454 0.7351  0.20
O 0.1350 0.2654 0.4374  0.19
O 0.2063 0.3541 0.0449  0.16
O 0.2937 0.8541 0.4551  0.16
O 0.3650 0.7654 0.0626  0.19
O 0.3832 0.5454 0.7649  0.20

DOS(E_F) ... 3.69 states/eV/cell
Spin magnetization ... 3.0 μB/f.u.
Raw total energy ... -7.45 eV/atom
Formation energy without anion corrections ... -2.2488 eV per atom

---

> Which formula does entry 4 have?

Ac2IrO6

---

> Which value of raw total energy does entry 1 give?

-6.89 eV/atom